(1)
The following is a PBE calculation of a relaxed NbNi7Ge2P2 crystal, from Alexandria via LeMat-Bulk.

a b c (Å): 5.329 5.260 11.469
angles (deg): 90.00 98.60 90.00
Space group C2/m (No. 12)
Inequivalent atoms, fractional coordinates:
Nb 0.000 0.000 0.000 [2 per cell]
Ni 0.000 0.500 0.000 [2 per cell]
Ni 0.198 0.249 0.838 [8 per cell]
Ni 0.229 0.500 0.463 [4 per cell]
Ge 0.092 0.000 0.339 [4 per cell]
P 0.085 0.500 0.276 [4 per cell]

Results
- V: 317.86 Å³ per cell
- Crystal system: monoclinic
- Uncorrected energy: -72.3 eV per formula unit
- D(E_F): 12.9 states/eV per cell

(2)
The following is a PBE calculation of a relaxed Er2ThRu2 crystal, from Alexandria via LeMat-Bulk.

a b c (Å): 10.116 6.696 7.105
angles (deg): 90.00 93.84 90.00
Space group P2_1/c (No. 14)
Inequivalent atoms, fractional coordinates:
Er 0.016 0.241 0.432 [4 per cell]
Er 0.291 0.675 0.888 [4 per cell]
Th 0.360 0.182 0.005 [4 per cell]
Ru 0.180 0.026 0.713 [4 per cell]
Ru 0.483 0.551 0.211 [4 per cell]

Results
- E above lowest polymorph: 5 meV per atom
- V: 480.22 Å³ per cell
- Crystal system: monoclinic
- Uncorrected energy: -37.1 eV per formula unit
- D(E_F): 10.9 states/eV per cell

(3)
The following is a PBE calculation of a relaxed CeThNp2As4 crystal, from Alexandria via LeMat-Bulk.

a b c (Å): 7.219 4.189 7.252
angles (deg): 90.00 109.57 90.00
Space group P2/m (No. 10)
Inequivalent atoms, fractional coordinates:
Ce 0.000 0.000 0.000 [1 per cell]
Th 0.000 0.500 0.500 [1 per cell]
Np 0.500 0.000 0.500 [1 per cell]
Np 0.500 0.500 0.000 [1 per cell]
As 0.258 0.500 0.252 [2 per cell]
As 0.259 0.000 0.754 [2 per cell]

Results
- V: 206.64 Å³ per cell
- Crystal system: monoclinic
- Uncorrected energy: -66.3 eV per formula unit
- D(E_F): 24.8 states/eV per cell